Compound: SmInPd14
Source: Alexandria
Functional: GGA-PBE
Structure: optimized geometry

Total energy in eV for the cell shown: -84.73
Formation energy from the elements in eV per atom: -0.286
N(E_F) in states/eV/atom: 1.70
Total magnetic moment in μB/atom: 0.000

The structure in CIF format:
```
data_SmInPd14
_symmetry_space_group_name_H-M 'P 4/m m m'
_symmetry_Int_Tables_number 123
_symmetry_space_group_name_Hall '-P 4 2'
_cell_length_a 5.735
_cell_length_b 5.735
_cell_length_c 7.964
_cell_angle_alpha 90.00
_cell_angle_beta 90.00
_cell_angle_gamma 90.00
loop_
_atom_site_label
_atom_site_type_symbol
_atom_site_fract_x
_atom_site_fract_y
_atom_site_fract_z
Sm1 Sm 0.000 0.000 0.000
In1 In 0.500 0.500 0.000
Pd1 Pd 0.000 0.000 0.500
Pd2 Pd 0.000 0.500 0.000
Pd3 Pd 0.000 0.500 0.500
Pd4 Pd 0.253 0.253 0.257
Pd5 Pd 0.500 0.500 0.500
```

Compound: Sm2InPd2
Source: Alexandria
Functional: GGA-PBE
Structure: optimized geometry

Total energy in eV for the cell shown: -53.43
Formation energy from the elements in eV per atom: -0.830
N(E_F) in states/eV/atom: 0.59
Total magnetic moment in μB/atom: 0.000

The structure in CIF format:
```
data_Sm2InPd2
_symmetry_space_group_name_H-M 'P 4/m b m'
_symmetry_Int_Tables_number 127
_symmetry_space_group_name_Hall '-P 4 2ab'
_cell_length_a 7.828
_cell_length_b 7.828
_cell_length_c 3.817
_cell_angle_alpha 90.00
_cell_angle_beta 90.00
_cell_angle_gamma 90.00
loop_
_atom_site_label
_atom_site_type_symbol
_atom_site_fract_x
_atom_site_fract_y
_atom_site_fract_z
Sm1 Sm 0.175 0.325 0.000
In1 In 0.000 0.000 0.500
Pd1 Pd 0.128 0.628 0.500
```

Compound: Sm12InPd5
Source: Alexandria
Functional: GGA-PBE
Structure: optimized geometry

Total energy in eV for the cell shown: -189.54
Formation energy from the elements in eV per atom: -0.524
N(E_F) in states/eV/atom: 0.96
Total magnetic moment in μB/atom: 0.000

The structure in CIF format:
```
data_Sm12InPd5
_symmetry_space_group_name_H-M 'I m m m'
_symmetry_Int_Tables_number 71
_symmetry_space_group_name_Hall '-I 2 2'
_cell_length_a 9.669
_cell_length_b 9.943
_cell_length_c 10.515
_cell_angle_alpha 90.00
_cell_angle_beta 90.00
_cell_angle_gamma 90.00
loop_
_atom_site_label
_atom_site_type_symbol
_atom_site_fract_x
_atom_site_fract_y
_atom_site_fract_z
Sm1 Sm 0.000 0.188 0.224
Sm2 Sm 0.199 0.500 0.174
Sm3 Sm 0.212 0.320 0.500
In1 In 0.000 0.000 0.500
Pd1 Pd 0.000 0.000 0.000
Pd2 Pd 0.000 0.352 0.000
Pd3 Pd 0.000 0.500 0.368
```

Compound: Sm2InPd
Source: Alexandria
Functional: GGA-PBE
Structure: optimized geometry

Total energy in eV for the cell shown: -57.79
Formation energy from the elements in eV per atom: -0.474
N(E_F) in states/eV/atom: 0.92
Total magnetic moment in μB/atom: 0.000
ΔE to the lowest computed polymorph in eV per atom: 0.1636

The structure in CIF format:
```
data_Sm2InPd
_symmetry_space_group_name_H-M 'R -3 m'
_symmetry_Int_Tables_number 166
_symmetry_space_group_name_Hall '-R 3 2"'
_cell_length_a 3.9107
_cell_length_b 3.9107
_cell_length_c 25.7206
_cell_angle_alpha 90.00
_cell_angle_beta 90.00
_cell_angle_gamma 120.00
loop_
_atom_site_label
_atom_site_type_symbol
_atom_site_fract_x
_atom_site_fract_y
_atom_site_fract_z
Sm1 Sm 0.0000 0.0000 0.2380
In1 In 0.0000 0.0000 0.0000
Pd1 Pd 0.0000 0.0000 0.5000
```

Compound: Sm6In3Pd
Source: Alexandria
Functional: GGA-PBE
Structure: optimized geometry

Total energy in eV for the cell shown: -91.83
Formation energy from the elements in eV per atom: -0.419
N(E_F) in states/eV/atom: 0.98
Total magnetic moment in μB/atom: 0.000

The structure in CIF format:
```
data_Sm6In3Pd
_symmetry_space_group_name_H-M 'P 1 21/m 1'
_symmetry_Int_Tables_number 11
_cell_length_a 9.443
_cell_length_b 5.332
_cell_length_c 11.707
_cell_angle_alpha 90.00
_cell_angle_beta 107.65
_cell_angle_gamma 90.00
loop_
_symmetry_equiv_pos_as_xyz
'x,y,z'
'-x,-y,-z'
'-x,y+1/2,-z'
'x,-y+1/2,z'
loop_
_atom_site_label
_atom_site_type_symbol
_atom_site_fract_x
_atom_site_fract_y
_atom_site_fract_z
Sm1 Sm 0.039 0.250 0.414
Sm2 Sm 0.176 0.750 0.171
Sm3 Sm 0.272 0.250 0.003
Sm4 Sm 0.354 0.750 0.823
Sm5 Sm 0.368 0.250 0.346
Sm6 Sm 0.405 0.250 0.633
In1 In 0.024 0.750 0.880
In2 In 0.113 0.250 0.720
In3 In 0.272 0.750 0.475
Pd1 Pd 0.457 0.750 0.101
```

Compound: Sm4InPd2
Source: Alexandria
Functional: GGA-PBE
Structure: optimized geometry

Total energy in eV for the cell shown: -105.81
Formation energy from the elements in eV per atom: -0.467
N(E_F) in states/eV/atom: 0.69
Total magnetic moment in μB/atom: 0.000

The structure in CIF format:
```
data_Sm4InPd2
_symmetry_space_group_name_H-M 'R -3 m'
_symmetry_Int_Tables_number 166
_symmetry_space_group_name_Hall '-R 3 2"'
_cell_length_a 4.9425
_cell_length_b 4.9425
_cell_length_c 28.4202
_cell_angle_alpha 90.00
_cell_angle_beta 90.00
_cell_angle_gamma 120.00
loop_
_atom_site_label
_atom_site_type_symbol
_atom_site_fract_x
_atom_site_fract_y
_atom_site_fract_z
Sm1 Sm 0.0000 0.0000 0.1165
Sm2 Sm 0.0000 0.0000 0.2953
In1 In 0.0000 0.0000 0.5000
Pd1 Pd 0.0000 0.0000 0.3999
```

Compound: Sm3In2Pd6
Source: Alexandria
Functional: GGA-PBE
Structure: optimized geometry

Total energy in eV for the cell shown: -236.20
Formation energy from the elements in eV per atom: -0.751
N(E_F) in states/eV/atom: 0.49
Total magnetic moment in μB/atom: 0.000

The structure in CIF format:
```
data_Sm3In2Pd6
_symmetry_space_group_name_H-M 'I m -3 m'
_symmetry_Int_Tables_number 229
_symmetry_space_group_name_Hall '-I 4 2 3'
_cell_length_a 9.755
_cell_length_b 9.755
_cell_length_c 9.755
_cell_angle_alpha 90.00
_cell_angle_beta 90.00
_cell_angle_gamma 90.00
loop_
_atom_site_label
_atom_site_type_symbol
_atom_site_fract_x
_atom_site_fract_y
_atom_site_fract_z
Sm1 Sm 0.000 0.000 0.291
In1 In 0.250 0.250 0.250
Pd1 Pd 0.000 0.344 0.344
```

Compound: SmIn2Pd8
Source: Alexandria
Functional: GGA-PBE
Structure: optimized geometry

Total energy in eV for the cell shown: -115.11
Formation energy from the elements in eV per atom: -0.529
N(E_F) in states/eV/atom: 0.47
Total magnetic moment in μB/atom: 0.000

The structure in CIF format:
```
data_SmIn2Pd8
_symmetry_space_group_name_H-M 'C 1 2/m 1'
_symmetry_Int_Tables_number 12
_cell_length_a 14.641
_cell_length_b 4.182
_cell_length_c 6.563
_cell_angle_alpha 90.00
_cell_angle_beta 107.81
_cell_angle_gamma 90.00
loop_
_symmetry_equiv_pos_as_xyz
'x,y,z'
'-x,-y,-z'
'-x,y,-z'
'x,-y,z'
'x+1/2,y+1/2,z'
'-x+1/2,-y+1/2,-z'
'-x+1/2,y+1/2,-z'
'x+1/2,-y+1/2,z'
loop_
_atom_site_label
_atom_site_type_symbol
_atom_site_fract_x
_atom_site_fract_y
_atom_site_fract_z
Sm1 Sm 0.000 0.000 0.000
In1 In 0.220 0.500 0.659
Pd1 Pd 0.040 0.500 0.720
Pd2 Pd 0.095 0.000 0.467
Pd3 Pd 0.144 0.500 0.203
Pd4 Pd 0.181 0.000 0.916
```

Compound: Sm2In8Pd
Source: Alexandria
Functional: GGA-PBE
Structure: optimized geometry

Total energy in eV for the cell shown: -41.38
Formation energy from the elements in eV per atom: -0.440
N(E_F) in states/eV/atom: 0.54
Total magnetic moment in μB/atom: 0.000

The structure in CIF format:
```
data_Sm2In8Pd
_symmetry_space_group_name_H-M 'P 4/m m m'
_symmetry_Int_Tables_number 123
_symmetry_space_group_name_Hall '-P 4 2'
_cell_length_a 4.708
_cell_length_b 4.708
_cell_length_c 12.221
_cell_angle_alpha 90.00
_cell_angle_beta 90.00
_cell_angle_gamma 90.00
loop_
_atom_site_label
_atom_site_type_symbol
_atom_site_fract_x
_atom_site_fract_y
_atom_site_fract_z
Sm1 Sm 0.000 0.000 0.190
In1 In 0.000 0.500 0.000
In2 In 0.000 0.500 0.375
In3 In 0.500 0.500 0.191
Pd1 Pd 0.000 0.000 0.500
```

Compound: SmInPd4
Source: Alexandria
Functional: GGA-PBE
Structure: optimized geometry

Total energy in eV for the cell shown: -129.10
Formation energy from the elements in eV per atom: -0.675
N(E_F) in states/eV/atom: 0.29
Total magnetic moment in μB/atom: 0.000

The structure in CIF format:
```
data_SmInPd4
_symmetry_space_group_name_H-M 'C m c m'
_symmetry_Int_Tables_number 63
_symmetry_space_group_name_Hall '-C 2c 2'
_cell_length_a 4.183
_cell_length_b 12.949
_cell_length_c 8.108
_cell_angle_alpha 90.00
_cell_angle_beta 90.00
_cell_angle_gamma 90.00
loop_
_atom_site_label
_atom_site_type_symbol
_atom_site_fract_x
_atom_site_fract_y
_atom_site_fract_z
Sm1 Sm 0.000 0.157 0.250
In1 In 0.000 0.148 0.750
Pd1 Pd 0.000 0.000 0.000
Pd2 Pd 0.000 0.337 0.008
Pd3 Pd 0.000 0.499 0.750
```